# 1
A geometry-optimized DyTi2Ir2 structure. Source: Alexandria via LeMat-Bulk, functional PBE-GGA.

Cell and atoms, written as extended XYZ:
```
5
Lattice="4.239 0.000 0.000 0.000 4.239 0.000 -2.120 -2.120 5.387" Properties=species:S:1:pos:R:3 pbc="T T T"
Dy 0.000 0.000 0.000
Ti 2.120 0.000 2.694
Ti 0.000 2.120 2.694
Ir 2.120 2.120 1.290
Ir 0.000 0.000 4.097
```

Its crystal system is tetragonal. The uncorrected energy comes out at -42.20 eV per formula unit. For the formation energy, the calculation gives -394 kJ/mol of formula units.

***

# 2
A geometry-optimized DyTiIr structure. Source: Alexandria via LeMat-Bulk, functional PBE-GGA.

Cell and atoms, written as extended XYZ:
```
6
Lattice="4.364 0.000 0.000 0.000 4.364 0.000 0.000 0.000 6.603" Properties=species:S:1:pos:R:3 pbc="T T T"
Ir 2.182 0.000 4.651
Ir 0.000 2.182 1.952
Dy 2.182 0.000 0.945
Dy 0.000 2.182 5.658
Ti 2.182 2.182 3.301
Ti 0.000 0.000 3.301
```

Its crystal system is tetragonal. The uncorrected energy comes out at -23.49 eV per formula unit. For the formation energy, the calculation gives -206 kJ/mol of formula units.

***

# 3
A geometry-optimized DyTiIr4 structure. Source: Alexandria via LeMat-Bulk, functional PBE-GGA.

Cell and atoms, written as extended XYZ:
```
6
Lattice="5.257 0.000 0.000 2.629 4.553 0.000 2.629 1.518 4.292" Properties=species:S:1:pos:R:3 pbc="T T T"
Ir 5.257 3.035 0.537
Ir 5.257 1.518 2.682
Ir 6.571 3.793 2.682
Ir 3.943 3.793 2.682
Ti 2.629 1.518 1.073
Dy 0.000 0.000 0.000
```

Its crystal system is cubic. The uncorrected energy comes out at -51.32 eV per formula unit. For the formation energy, the calculation gives -326 kJ/mol of formula units.

***

# 4
A geometry-optimized Dy2TlIr structure. Source: Alexandria via LeMat-Bulk, functional PBE-GGA.

Cell and atoms, written as extended XYZ:
```
4
Lattice="-0.568 -0.449 -3.888 0.320 -3.582 -1.645 -7.955 -2.644 -0.545" Properties=species:S:1:pos:R:3 pbc="T T T"
Tl -4.101 -3.338 -3.039
Ir 0.000 0.000 0.000
Dy -1.609 -1.596 -1.592
Dy -6.593 -5.079 -4.485
```

Its crystal system is trigonal. The uncorrected energy comes out at -22.56 eV per formula unit. Its energy above the lowest structure with this stoichiometry is 0.0779 eV per atom. For the formation energy, the calculation gives -206 kJ/mol of formula units.

***

# 5
A geometry-optimized Dy8Tl2Ir3 structure. Source: Alexandria via LeMat-Bulk, functional PBE-GGA.

Cell and atoms, written as extended XYZ:
```
13
Lattice="4.929 0.000 0.000 0.000 8.566 -4.920 0.000 -0.630 8.813" Properties=species:S:1:pos:R:3 pbc="T T T"
Dy 4.929 5.092 -1.054
Dy 0.000 2.844 4.947
Dy 4.929 0.830 1.444
Dy 0.000 7.106 2.449
Dy 2.465 5.018 3.675
Dy 2.465 0.650 6.181
Dy 2.465 7.286 -2.288
Dy 2.465 2.918 0.218
Tl 2.465 1.883 3.265
Tl 2.465 6.054 0.628
Ir 2.465 0.000 0.000
Ir 0.000 1.538 7.567
Ir 0.000 6.398 -3.674
```

Its crystal system is monoclinic. The uncorrected energy comes out at -74.62 eV per formula unit. Its energy above the lowest structure with this stoichiometry is 0.0000 eV per atom. For the formation energy, the calculation gives -625 kJ/mol of formula units.

***

# 6
A geometry-optimized Dy5TlIr2 structure. Source: Alexandria via LeMat-Bulk, functional PBE-GGA.

Cell and atoms, written as extended XYZ:
```
16
Lattice="1.434 1.469 -7.519 0.446 -7.653 -1.410 -7.603 2.943 3.164" Properties=species:S:1:pos:R:3 pbc="T T T"
Dy -4.524 -2.480 -2.637
Dy -0.437 -5.502 -6.487
Dy 0.000 0.000 0.000
Dy 0.940 -3.092 -4.465
Dy -5.286 2.261 0.723
Dy -4.488 1.612 -3.292
Dy -5.322 -1.831 1.378
Dy -1.235 -4.852 -2.473
Dy -0.401 -1.410 -7.142
Dy -1.198 -0.760 -3.128
Tl -2.391 -3.166 -5.115
Tl -3.331 -0.074 -0.650
Ir 0.361 -2.550 -1.560
Ir 0.980 -0.131 -5.009
Ir 0.900 -6.053 -3.920
Ir 1.519 -3.634 -7.369
```

Its crystal system is tetragonal. The uncorrected energy comes out at -48.33 eV per formula unit. For the formation energy, the calculation gives -504 kJ/mol of formula units.